An optimized crystal structure of PrSm5Th. Source: Alexandria via LeMat-Bulk, functional PBE.

```
PrSm5Th
1.0
5.733 0.000 0.000
0.000 5.733 0.000
0.000 0.000 7.824
Pr Sm Th
1 5 1
direct
0.000 0.000 0.000
0.000 0.500 0.281
0.000 0.500 0.719
0.500 0.000 0.281
0.500 0.000 0.719
0.500 0.500 0.000
0.000 0.000 0.500
```

## Properties
Symmetry   P4/mmm (123)
DFT formation energy   0.333 eV per atom
E_tot   -4.7809 eV per atom

***

An optimized crystal structure of PrSm8Th2. Source: Alexandria via LeMat-Bulk, functional PBE.

```
PrSm8Th2
1.0
4.565 -8.248 0.000
4.565 8.248 0.000
-3.386 0.000 5.017
Pr Sm Th
1 8 2
direct
0.000 0.000 0.000
0.101 0.338 0.681
0.207 0.793 0.000
0.338 0.101 0.681
0.425 0.425 0.208
0.575 0.575 0.792
0.662 0.899 0.319
0.793 0.207 0.000
0.899 0.662 0.319
0.308 0.692 0.500
0.692 0.308 0.500
```

## Properties
Symmetry   C2/m (12)
DFT formation energy   0.195 eV per atom
E_tot   -5.0209 eV per atom